! LiTbSb2, optimized geometry, DFT PBE; values from VASP
! Uncorrected formation energy, eV per atom: -0.8001
! Polymorph energy (0 for the lowest one), eV/atom: 0.000
! VASP energy, eV/atom: -4.4973
&SYSTEM
  ibrav = 0, nat = 8, ntyp = 3
/
ATOMIC_SPECIES
Li 6.94 Li.upf
Tb 158.93 Tb.upf
Sb 121.76 Sb.upf
ATOMIC_POSITIONS angstrom
Li 2.141 2.141 0.000
Li 0.000 0.000 0.000
Tb 0.000 2.141 2.875
Tb 2.141 0.000 7.858
Sb 2.141 0.000 1.812
Sb 0.000 2.141 8.921
Sb 0.000 0.000 5.366
Sb 2.141 2.141 5.366
CELL_PARAMETERS angstrom
4.281 0.000 0.000
0.000 4.281 0.000
0.000 0.000 10.733

---

! SmTmOs4, optimized geometry, DFT PBE; values from VASP
! Calculated formation energy, meV per atom: -232
! VASP energy, eV/atom: -9.2501
&SYSTEM
  ibrav = 0, nat = 6, ntyp = 3
/
ATOMIC_SPECIES
Tm 168.93 Tm.upf
Os 190.23 Os.upf
Sm 150.36 Sm.upf
ATOMIC_POSITIONS angstrom
Tm 0.000 0.000 0.000
Os -2.909 -3.912 -3.868
Os -4.028 -1.546 -4.484
Os -5.397 -3.825 -4.881
Os -4.933 -2.954 -2.380
Sm -2.158 -1.530 -1.952
CELL_PARAMETERS angstrom
-0.928 -1.740 -4.993
-2.735 -4.551 -0.791
-4.970 0.173 -2.022

---

! Pm3Co2Ge3, optimized geometry, DFT PBE; values from VASP
! Calculated formation energy, meV per atom: -650
! VASP energy, eV/atom: -5.9392
&SYSTEM
  ibrav = 0, nat = 16, ntyp = 3
/
ATOMIC_SPECIES
Pm 145.00 Pm.upf
Co 58.93 Co.upf
Ge 72.64 Ge.upf
ATOMIC_POSITIONS angstrom
Pm -5.296 -5.391 0.127
Pm -5.092 -8.914 7.704
Pm -3.753 -2.713 -2.531
Pm -3.550 -6.237 5.046
Pm -3.650 -2.270 1.101
Pm -5.196 -9.358 4.072
Co -7.647 -9.347 5.994
Co -2.843 -5.136 2.014
Co -6.002 -6.492 3.159
Co -1.199 -2.281 -0.820
Ge -4.790 -4.249 3.083
Ge -6.344 -11.353 6.035
Ge -2.501 -0.275 -0.862
Ge -4.055 -7.379 2.090
Ge -2.414 -4.510 -0.439
Ge -6.431 -7.118 5.612
CELL_PARAMETERS angstrom
-3.693 1.990 -0.138
0.280 -4.186 -4.053
-5.433 -9.433 9.364

---

! K2P2WN6, optimized geometry, DFT PBE; values from VASP
! Uncorrected formation energy, eV per atom: -0.2730
! VASP energy, eV/atom: -7.1749
&SYSTEM
  ibrav = 0, nat = 11, ntyp = 4
/
ATOMIC_SPECIES
K 39.10 K.upf
P 30.97 P.upf
W 183.84 W.upf
N 14.01 N.upf
ATOMIC_POSITIONS angstrom
K 8.333 4.811 3.737
K 2.778 1.604 2.265
P 5.555 3.207 4.853
P 5.555 3.207 1.149
W 0.000 0.000 0.000
N 6.916 3.993 1.194
N 4.194 3.993 1.194
N 5.555 1.636 1.194
N 5.555 4.779 4.808
N 6.916 2.422 4.808
N 4.194 2.422 4.808
CELL_PARAMETERS angstrom
5.555 0.000 0.000
2.778 4.811 0.000
2.778 1.604 6.002

---

! Ho3PuTl4S8, optimized geometry, DFT PBE; values from VASP
! Uncorrected formation energy, eV per atom: -1.4082
! VASP energy, eV/atom: -5.8175
&SYSTEM
  ibrav = 0, nat = 16, ntyp = 4
/
ATOMIC_SPECIES
Ho 164.93 Ho.upf
Pu 244.00 Pu.upf
Tl 204.38 Tl.upf
S 32.06 S.upf
ATOMIC_POSITIONS angstrom
Ho 4.035 4.409 0.263
Ho 2.017 2.393 3.116
Ho -2.017 2.393 3.116
Pu 0.000 4.409 0.263
Tl 4.035 0.000 0.000
Tl 2.017 -2.016 2.854
Tl 0.000 0.000 0.000
Tl -2.017 -2.016 2.854
S -1.995 2.263 5.862
S 0.000 4.258 3.039
S 0.000 0.515 3.215
S 1.996 2.263 5.862
S 2.039 2.523 0.371
S 4.035 4.271 3.018
S 4.035 0.528 3.194
S 6.030 2.523 0.371
CELL_PARAMETERS angstrom
8.069 0.000 0.000
0.000 8.818 0.526
-4.035 -4.033 5.707

---

! CsKTiSe3, optimized geometry, DFT PBE; values from VASP
! Uncorrected formation energy, eV per atom: -1.2389
! VASP energy, eV/atom: -4.6221
&SYSTEM
  ibrav = 0, nat = 12, ntyp = 4
/
ATOMIC_SPECIES
Cs 132.91 Cs.upf
K 39.10 K.upf
Ti 47.87 Ti.upf
Se 78.96 Se.upf
ATOMIC_POSITIONS angstrom
Cs -3.842 -3.876 2.522
Cs -4.004 -9.551 3.627
K -6.048 -6.342 5.742
K -1.797 -7.086 0.407
Ti -7.315 -6.683 1.155
Ti -0.530 -6.744 4.994
Se -6.910 -9.335 6.657
Se -6.686 -3.239 5.029
Se -4.971 -6.854 0.838
Se -0.936 -4.092 -0.508
Se -1.160 -10.188 1.120
Se -2.874 -6.573 5.312
CELL_PARAMETERS angstrom
-0.923 -6.053 -3.550
0.399 -5.282 5.787
-7.322 -2.092 3.913